Compound: Zr2Sc2Bi
Source: Alexandria
Functional: PBE
Structure: optimized geometry

Cell lengths 7.6785, 7.6785, 4.2055 Å; angles 90.00, 90.00, 90.00 degrees
Closest atoms and distances in Å follow each position.
Space group P4/mbm (No. 127)
One atom of each set of equivalent atoms:
Zr 0.1375 0.3625 0.0000 (multiplicity 4)  2 Bi 2.98, 1 Zr 2.99, 6 Sc 3.06-3.10
Sc 0.1583 0.6583 0.5000 (multiplicity 4)  6 Zr 3.06-3.10
Bi 0.0000 0.0000 0.0000 (multiplicity 2)  4 Zr 2.98

## Properties
Formation enthalpy at 0 K in eV/atom: -0.077
Calculated total energy in eV per atom: -6.8050
V in Å³/cell: 248
Energy above the most stable polymorph in this dataset in eV per atom: 0.000